VASP calculation (PBE) on an optimized crystal structure of Nd6DyYTm2.

Structure (POSCAR):
```
Nd6DyYTm2
1.0
9.2116 -2.0001 -2.0757
0.8023 8.6809 -2.0446
0.8023 -2.3649 8.5991
Nd Y Dy Tm
12 2 2 4
direct
0.1870 0.5631 0.0108
0.4466 0.2383 0.8829
0.9466 0.8829 0.2383
0.1187 0.7077 0.4920
0.0534 0.1171 0.7617
0.5534 0.7617 0.1171
0.8130 0.4369 0.9892
0.8813 0.2923 0.5080
0.6187 0.4920 0.7077
0.3130 0.9892 0.4369
0.6870 0.0108 0.5631
0.3813 0.5080 0.2923
0.2500 0.9725 0.0275
0.7500 0.0275 0.9725
0.2500 0.4109 0.5891
0.7500 0.5891 0.4109
0.0459 0.2997 0.1998
0.9541 0.7003 0.8002
0.5459 0.1998 0.2997
0.4541 0.8002 0.7003
```

Computed properties:
Space-group type: C2/c (15)
Energy relative to the elements in eV/f.u.: 1.14
Energy in eV per cell: -94.95